# 1
First-principles (PBE) data for a relaxed ZrVAs2 crystal, as listed in Alexandria via LeMat-Bulk.

a = 6.4727 Å, b = 6.4727 Å, c = 6.4727 Å
α = 90.00°, β = 90.00°, γ = 90.00°
Space group Fm-3m (No. 225)
Asymmetric unit:
Zr: 0.0000 0.0000 0.0000
V: 0.0000 0.0000 0.5000
As: 0.2500 0.2500 0.2500

Properties
Relative energy among the computed polymorphs in meV per atom: 184
Energy of formation from the pure elements in eV per atom: -0.464

***

# 2
First-principles (PBE) data for a relaxed ZrVAs3 crystal, as listed in Alexandria via LeMat-Bulk.

a = 5.1383 Å, b = 5.1383 Å, c = 5.1383 Å
α = 90.00°, β = 90.00°, γ = 90.00°
Space group Pm-3m (No. 221)
Asymmetric unit:
Zr: 0.0000 0.0000 0.0000
V: 0.5000 0.5000 0.5000
As: 0.0000 0.0000 0.5000

Properties
Relative energy among the computed polymorphs in meV per atom: 401
Energy of formation from the pure elements in eV per atom: 0.590

***

# 3
First-principles (PBE) data for a relaxed ZrV2As crystal, as listed in Alexandria via LeMat-Bulk.

a = 7.4068 Å, b = 7.4068 Å, c = 5.2217 Å
α = 90.00°, β = 90.00°, γ = 90.00°
Space group I-42d (No. 122)
Asymmetric unit:
Zr: 0.0000 0.0000 0.0000
V: 0.1932 0.2500 0.6250
As: 0.0000 0.0000 0.5000

Properties
Relative energy among the computed polymorphs in meV per atom: 232
Energy of formation from the pure elements in eV per atom: 0.169

***

What did we get for DFT total energy? Answer: -7.21 -5.73 -7.69 eV per atom, in the order shown.